No. 1
The following is a DFT calculation (PBE) of a geometry-optimized Pr6Hg3C structure.

## Properties
**ΔE to the lowest computed polymorph**: 0.0000 eV/atom
**Volume**: 30.11 A^3/atom
**Symmetry**: No. 14
**Mass density**: 8.05 g/cm3
**Total magnetic moment**: 0.00 μB/f.u.
**ΔE_f**: -260 meV per atom
**DFT total energy**: -4.141 eV per atom

abc: 6.778 8.463 10.541
angles: 90.00 84.82 90.00
Atoms (fractional coordinates):
Hg 0.500 0.500 0.000
Hg 0.000 0.000 0.500
Hg 0.421 0.111 0.262
Hg 0.921 0.389 0.762
Hg 0.079 0.611 0.238
Hg 0.579 0.889 0.738
Pr 0.148 0.053 0.774
Pr 0.177 0.353 0.446
Pr 0.323 0.853 0.054
Pr 0.117 0.280 0.065
Pr 0.883 0.720 0.935
Pr 0.823 0.647 0.554
Pr 0.383 0.780 0.435
Pr 0.617 0.220 0.565
Pr 0.352 0.553 0.726
Pr 0.852 0.947 0.226
Pr 0.677 0.147 0.946
Pr 0.648 0.447 0.274
C 0.000 0.000 0.000
C 0.500 0.500 0.500

---

No. 2
The following is a DFT calculation (PBE) of a geometry-optimized FeSeS2Cl structure.

## Properties
**ΔE to the lowest computed polymorph**: 0.4345 eV/atom
**Volume**: 22.54 A^3/atom
**Symmetry**: No. 123
**Mass density**: 3.45 g/cm3
**ΔE_f (raw)**: 0.821 eV/atom
**Total magnetic moment**: 3.89 μB/f.u.
**DFT total energy**: -3.589 eV per atom

abc: 4.878 4.878 4.737
angles: 90.00 90.00 90.00
Atoms (fractional coordinates):
Se 0.000 0.000 0.000
Fe 0.500 0.500 0.500
S 0.500 0.000 0.000
S 0.000 0.500 0.000
Cl 0.000 0.000 0.500

---

No. 3
The following is a DFT calculation (PBE) of a geometry-optimized AuSBr3 structure.

## Properties
**ΔE to the lowest computed polymorph**: 0.5102 eV/atom
**Volume**: 26.93 A^3/atom
**Symmetry**: No. 221
**Mass density**: 5.78 g/cm3
**ΔE_f (raw)**: 0.496 eV/atom
**Total magnetic moment**: 0.00 μB/f.u.
**DFT total energy**: -1.989 eV per atom

abc: 5.125 5.125 5.125
angles: 90.00 90.00 90.00
Atoms (fractional coordinates):
Au 0.500 0.500 0.500
S 0.000 0.000 0.000
Br 0.000 0.500 0.000
Br 0.000 0.000 0.500
Br 0.500 0.000 0.000

---

No. 4
The following is a DFT calculation (PBE) of a geometry-optimized CaZr3Cd structure.

## Properties
**ΔE to the lowest computed polymorph**: 0.0000 eV/atom
**Volume**: 30.87 A^3/atom
**Symmetry**: No. 221
**Mass density**: 4.58 g/cm3
**Total magnetic moment**: 1.05 μB/f.u.
**ΔE_f**: 917 meV per atom
**DFT total energy**: -4.795 eV per atom

abc: 5.364 5.364 5.364
angles: 90.00 90.00 90.00
Atoms (fractional coordinates):
Zr 0.500 0.000 0.000
Zr 0.000 0.500 0.000
Zr 0.000 0.000 0.500
Cd 0.000 0.000 0.000
Ca 0.500 0.500 0.500

---

No. 5
The following is a DFT calculation (PBE) of a geometry-optimized SmDy6In3 structure.

## Properties
**ΔE to the lowest computed polymorph**: 0.1295 eV/atom
**Volume**: 30.87 A^3/atom
**Symmetry**: No. 36
**Mass density**: 7.91 g/cm3
**Total magnetic moment**: 0.00 μB/f.u.
**ΔE_f**: -138 meV per atom
**DFT total energy**: -4.192 eV per atom

abc: 7.714 9.255 9.255
angles: 110.86 90.00 90.00
Atoms (fractional coordinates):
Dy 0.797 0.049 0.951
Dy 0.106 0.300 0.234
Dy 0.297 0.951 0.049
Dy 0.606 0.700 0.766
Dy 0.106 0.766 0.700
Dy 0.626 0.302 0.698
Dy 0.793 0.925 0.550
Dy 0.126 0.698 0.302
Dy 0.293 0.075 0.450
Dy 0.293 0.550 0.925
Dy 0.793 0.450 0.075
Dy 0.606 0.234 0.300
In 0.931 0.013 0.279
In 0.431 0.987 0.721
In 0.320 0.447 0.553
In 0.931 0.721 0.987
In 0.820 0.553 0.447
In 0.431 0.279 0.013
Sm 0.581 0.784 0.216
Sm 0.081 0.216 0.784

---

No. 6
The following is a DFT calculation (PBE) of a geometry-optimized Ac2CePuAs4 structure.

## Properties
**Volume**: 29.47 A^3/atom
**Symmetry**: No. 10
**Mass density**: 8.01 g/cm3
**Total magnetic moment**: 5.83 μB/f.u.
**ΔE_f**: -1320 meV per atom
**DFT total energy**: -7.205 eV per atom

abc: 4.368 7.574 7.561
angles: 70.49 90.00 90.00
Atoms (fractional coordinates):
As 0.000 0.726 0.759
As 0.500 0.727 0.257
As 0.500 0.273 0.743
As 0.000 0.274 0.241
Ce 0.000 0.500 0.500
Ac 0.000 0.000 0.000
Ac 0.500 0.000 0.500
Pu 0.500 0.500 0.000

---

> Look up the volume of the second one.

22.54 A^3/atom